First-principles (GGA-PBE) data for a relaxed RbAuO3 crystal, as listed in Alexandria.

Energy relative to the elements, uncorrected   -0.69 eV per formula unit
Size of the total moment   0.00 μB per formula unit
Calculated density   6181 kg/m3

POSCAR file:
```
RbAuO3
1.0
7.320 0.000 0.000
0.000 7.450 0.000
0.000 0.000 6.512
Rb Au O
4 4 12
Cartesian
0.000 3.725 0.000
3.660 0.000 3.256
3.660 0.000 0.000
0.000 3.725 3.256
3.281 3.324 4.884
0.379 7.049 1.628
4.039 4.126 1.628
6.941 0.401 4.884
6.580 0.824 0.368
4.400 4.549 3.623
4.400 4.549 6.144
0.740 6.626 3.623
0.740 6.626 6.144
2.920 2.901 2.888
2.920 2.901 0.368
6.580 0.824 2.888
5.568 1.762 4.884
5.412 5.487 1.628
1.752 5.688 1.628
1.908 1.963 4.884
```